Here is YMgP after structural relaxation from Alexandria via LeMat-Bulk. Energies are from PBE.

Structure (POSCAR):
```
YMgP
1.0
3.948 0.000 0.000
-1.974 3.419 0.000
0.000 0.000 5.637
Y Mg P
1 1 1
Cartesian
0.000 0.000 0.000
1.974 1.140 2.768
0.000 2.280 4.129
```

Output
**Magnetic moment**: 0.00 μB per formula unit
**Energy above the most stable polymorph in this dataset**: 193 meV/atom

---

Here is Tl6InHg12 after structural relaxation from Alexandria via LeMat-Bulk. Energies are from PBE.

Structure (POSCAR):
```
Tl6InHg12
1.0
6.286 3.629 4.143
-6.286 3.629 4.143
0.000 -7.259 4.143
Tl In Hg
6 1 12
Cartesian
-3.597 1.006 5.060
-2.670 -2.612 7.369
0.927 -3.618 5.060
-0.927 3.618 7.369
2.670 2.612 5.060
3.597 -1.006 7.369
0.000 0.000 6.215
-0.325 -1.861 1.711
-1.449 1.212 1.711
-1.649 -1.729 4.389
1.774 0.649 1.711
-0.673 2.293 4.389
-2.322 0.563 8.040
2.322 -0.563 4.389
0.673 -2.293 8.040
-1.774 -0.649 10.719
1.649 1.729 8.040
1.449 -1.212 10.719
0.325 1.861 10.719
```

Output
**Magnetic moment**: 0.00 μB per formula unit
**Energy above the most stable polymorph in this dataset**: 15 meV/atom

---

Here is MnP2Se after structural relaxation from Alexandria via LeMat-Bulk. Energies are from PBE.

Structure (POSCAR):
```
MnP2Se
1.0
3.604 -1.606 0.000
3.604 1.606 0.000
-1.170 0.000 6.633
Mn P Se
1 2 1
Cartesian
0.000 0.000 0.000
0.941 0.000 6.031
2.574 0.000 4.756
4.948 0.000 1.489
```

Output
**Magnetic moment**: 0.79 μB per formula unit
**Total DFT energy (no corrections)**: -5.9010 eV/atom

---

Here is AcTlPd after structural relaxation from Alexandria via LeMat-Bulk. Energies are from PBE.

Structure (POSCAR):
```
AcTlPd
1.0
14.344 0.000 0.000
0.000 4.181 0.000
0.000 0.000 8.171
Ac Tl Pd
6 6 6
Cartesian
0.658 0.000 1.932
3.586 0.000 7.023
6.514 0.000 1.932
7.830 0.000 6.239
10.758 0.000 1.148
13.686 0.000 6.239
1.756 2.090 4.699
3.586 2.090 1.662
5.416 2.090 4.699
8.928 2.090 3.472
10.758 2.090 6.509
12.588 2.090 3.472
1.361 2.090 7.709
3.586 0.000 3.710
5.811 2.090 7.709
8.533 2.090 0.462
10.758 0.000 4.461
12.984 2.090 0.462
```

Output
**Magnetic moment**: 0.00 μB per formula unit
**Energy above the most stable polymorph in this dataset**: 0 meV/atom